[1]
The following is a PBE calculation of K2Ce2Cl7 after structural relaxation, from the Alexandria database.

Properties
Its total energy is -4.504 eV per atom. The uncorrected formation energy is -2177 kJ/mol of formula units. The total magnetization comes out at 0.27 μB/atom.

abc: 7.433 6.985 6.985
angles: 82.64 90.02 90.02
Last column: magnetic moment on the atom in μB.
Element x y z (fractional)
Cl1 0.758 0.000 0.500  -0.01
Cl2 0.242 0.000 0.500  -0.01
Cl3 0.758 0.500 0.000  -0.01
Cl4 0.000 0.000 0.000  -0.01
Cl5 0.230 0.500 0.500  -0.01
Cl6 0.770 0.500 0.500  -0.01
Cl7 0.242 0.500 0.000  -0.01
K1 0.500 0.247 0.753  0.00
K2 0.500 0.753 0.247  0.00
Ce1 0.000 0.722 0.722  1.35
Ce2 0.000 0.278 0.278  1.35

---

[2]
The following is a PBE calculation of KCeCl6 after structural relaxation, from the Alexandria database.

Properties
Its total energy is -3.840 eV per atom. The uncorrected formation energy is -1217 kJ/mol of formula units. The total magnetization comes out at 0.12 μB/atom. The polymorph energy (0 for the lowest one) comes out at 0.00 eV per formula unit.

abc: 8.307 6.188 6.188
angles: 76.83 99.34 80.66
Last column: magnetic moment on the atom in μB.
Element x y z (fractional)
Cl1 0.232 0.034 0.360  0.12
Cl2 0.232 0.681 0.008  0.12
Cl3 0.768 0.360 0.034  0.12
Cl4 0.858 0.749 0.293  0.14
Cl5 0.142 0.293 0.749  0.14
Cl6 0.768 0.008 0.681  0.12
Ce1 0.000 0.021 0.021  -0.02
K1 0.500 0.021 0.021  0.00

---

[3]
The following is a PBE calculation of K6CeCl8 after structural relaxation, from the Alexandria database.

Properties
Its total energy is -3.740 eV per atom. The uncorrected formation energy is -2779 kJ/mol of formula units. The total magnetization comes out at 0.11 μB/atom.

abc: 9.137 9.137 9.137
angles: 60.00 60.00 60.00
Last column: magnetic moment on the atom in μB.
Element x y z (fractional)
Cl1 0.222 0.222 0.778  -0.01
Cl2 0.222 0.778 0.222  -0.01
Cl3 0.250 0.250 0.250  0.00
Cl4 0.222 0.778 0.778  -0.01
Cl5 0.750 0.750 0.750  0.00
Cl6 0.778 0.222 0.222  -0.01
Cl7 0.778 0.778 0.222  -0.01
Cl8 0.778 0.222 0.778  -0.01
K1 0.500 0.000 0.000  0.00
K2 0.000 0.500 0.500  0.00
K3 0.000 0.500 0.000  0.00
K4 0.500 0.500 0.000  0.00
K5 0.000 0.000 0.500  0.00
K6 0.500 0.000 0.500  0.00
Ce1 0.000 0.000 0.000  1.39

---

[4]
The following is a PBE calculation of KCeCl6 after structural relaxation, from the Alexandria database.

Properties
Its total energy is -3.818 eV per atom. The uncorrected formation energy is -1199 kJ/mol of formula units. The total magnetization comes out at 0.10 μB/atom. The polymorph energy (0 for the lowest one) comes out at 0.18 eV per formula unit.

abc: 7.061 7.061 7.811
angles: 63.13 63.13 60.00
Last column: magnetic moment on the atom in μB.
Element x y z (fractional)
K1 0.500 0.500 0.500  0.00
Cl1 0.909 0.909 0.761  0.11
Cl2 0.909 0.421 0.761  0.11
Cl3 0.579 0.091 0.239  0.11
Cl4 0.091 0.091 0.239  0.11
Cl5 0.421 0.909 0.761  0.11
Cl6 0.091 0.579 0.239  0.11
Ce1 0.000 0.000 0.000  -0.04

---

[5]
The following is a PBE calculation of K3Ce5Cl12 after structural relaxation, from the Alexandria database.

Properties
Its total energy is -4.461 eV per atom. The uncorrected formation energy is -3290 kJ/mol of formula units. The total magnetization comes out at 0.53 μB/atom.

abc: 15.158 15.158 15.158
angles: 109.47 109.47 109.47
Last column: magnetic moment on the atom in μB.
Element x y z (fractional)
Cl1 0.633 0.046 0.216  0.00
Cl2 0.913 0.830 0.546  0.00
Cl3 0.330 0.546 0.413  0.00
Cl4 0.716 0.133 0.046  0.00
Cl5 0.633 0.587 0.917  0.00
Cl6 0.913 0.083 0.867  0.00
Cl7 0.784 0.330 0.917  0.00
Cl8 0.784 0.454 0.367  0.00
Cl9 0.087 0.917 0.133  0.00
Cl10 0.133 0.417 0.087  0.00
Cl11 0.330 0.784 0.417  0.00
Cl12 0.367 0.413 0.083  0.00
Cl13 0.046 0.633 0.716  0.00
Cl14 0.546 0.330 0.913  0.00
Cl15 0.413 0.046 0.330  0.00
Cl16 0.670 0.454 0.587  0.00
Cl17 0.716 0.583 0.170  0.00
Cl18 0.867 0.284 0.454  0.00
Cl19 0.216 0.546 0.633  0.00
Cl20 0.587 0.633 0.417  0.00
Cl21 0.954 0.367 0.284  0.00
Cl22 0.917 0.830 0.784  0.00
Cl23 0.083 0.170 0.216  0.00
Cl24 0.133 0.716 0.546  0.00
Cl25 0.367 0.954 0.784  0.00
Cl26 0.867 0.583 0.913  0.00
Cl27 0.170 0.083 0.716  0.00
Cl28 0.954 0.587 0.170  0.00
Cl29 0.454 0.670 0.087  0.00
Cl30 0.083 0.913 0.367  0.00
Cl31 0.284 0.417 0.830  0.00
Cl32 0.583 0.867 0.413  0.00
Cl33 0.830 0.913 0.046  0.00
Cl34 0.413 0.367 0.583  0.00
Cl35 0.284 0.867 0.954  0.00
Cl36 0.216 0.670 0.083  0.00
Cl37 0.454 0.784 0.867  0.00
Cl38 0.046 0.413 0.830  0.00
Cl39 0.583 0.716 0.670  0.00
Cl40 0.830 0.917 0.284  0.00
Cl41 0.587 0.954 0.670  0.00
Cl42 0.417 0.133 0.587  0.00
Cl43 0.087 0.170 0.454  0.00
Cl44 0.170 0.087 0.954  0.00
Cl45 0.917 0.087 0.633  0.00
Cl46 0.417 0.284 0.330  0.00
Cl47 0.546 0.216 0.133  0.00
Cl48 0.670 0.216 0.583  0.00
K1 0.375 0.750 0.625  0.00
K2 0.625 0.375 0.750  0.00
K3 0.625 0.250 0.375  0.00
K4 0.750 0.875 0.625  0.00
K5 0.750 0.375 0.125  0.00
K6 0.125 0.250 0.875  0.00
K7 0.250 0.625 0.875  0.00
K8 0.125 0.875 0.750  0.00
K9 0.875 0.125 0.250  0.00
K10 0.375 0.625 0.250  0.00
K11 0.250 0.125 0.375  0.00
K12 0.875 0.750 0.125  0.00
Ce1 0.000 0.000 0.000  1.44
Ce2 0.000 0.500 0.000  1.44
Ce3 0.375 0.250 0.125  1.46
Ce4 0.750 0.625 0.375  1.46
Ce5 0.000 0.500 0.500  1.44
Ce6 0.750 0.125 0.875  1.46
Ce7 0.250 0.875 0.125  1.46
Ce8 0.625 0.875 0.250  1.46
Ce9 0.375 0.125 0.750  1.46
Ce10 0.500 0.500 0.000  1.44
Ce11 0.500 0.000 0.000  1.44
Ce12 0.250 0.375 0.625  1.46
Ce13 0.875 0.625 0.750  1.46
Ce14 0.875 0.250 0.625  1.46
Ce15 0.625 0.750 0.875  1.46
Ce16 0.500 0.000 0.500  1.44
Ce17 0.125 0.750 0.375  1.46
Ce18 0.000 0.000 0.500  1.44
Ce19 0.125 0.375 0.250  1.46
Ce20 0.500 0.500 0.500  1.44

---

[6]
The following is a PBE calculation of K3Ce2Cl8 after structural relaxation, from the Alexandria database.

Properties
Its total energy is -4.308 eV per atom. The uncorrected formation energy is -2516 kJ/mol of formula units. The total magnetization comes out at 0.23 μB/atom.

abc: 7.558 8.974 8.974
angles: 57.03 74.42 74.42
Last column: magnetic moment on the atom in μB.
Element x y z (fractional)
Ce1 0.033 0.749 0.749  1.32
Ce2 0.967 0.251 0.251  1.32
Cl1 0.786 0.090 0.624  -0.01
Cl2 0.807 0.641 0.641  -0.01
Cl3 0.224 0.878 0.878  0.00
Cl4 0.193 0.359 0.359  -0.01
Cl5 0.214 0.376 0.910  -0.01
Cl6 0.786 0.624 0.090  -0.01
Cl7 0.776 0.122 0.122  0.00
Cl8 0.214 0.910 0.376  -0.01
K1 0.000 0.738 0.262  0.00
K2 0.000 0.262 0.738  0.00
K3 0.500 0.000 0.000  0.00